No. 1
# GGA-PBE TmZn2Au2, optimized geometry
data_TmZn2Au2
_chemical_formula_sum 'Tm1 Zn2 Au2'
_cell_length_a 5.046
_cell_length_b 5.046
_cell_length_c 6.274
_cell_angle_alpha 128.41
_cell_angle_beta 128.41
_cell_angle_gamma 78.38
_space_group_name_H-M_alt 'P 1'
_space_group_IT_number 1
loop_
_space_group_symop_operation_xyz
'x,y,z'
loop_
_atom_site_label
_atom_site_type_symbol
_atom_site_fract_x
_atom_site_fract_y
_atom_site_fract_z
Zn1 Zn 0.500 0.500 0.693
Zn2 Zn 0.500 0.500 0.307
Tm1 Tm 0.000 0.000 0.500
Au1 Au 0.786 0.214 0.000
Au2 Au 0.214 0.786 0.000
# D(E_F)	2.44	states/eV per cell
# ΔE_f	-0.487	eV per atom
# theoretical density	12.31	Mg/m³
# space group	No. 71

No. 2
# GGA-PBE TmZn8Au6, optimized geometry
data_TmZn8Au6
_chemical_formula_sum 'Tm1 Zn8 Au6'
_cell_length_a 7.752
_cell_length_b 7.752
_cell_length_c 7.038
_cell_angle_alpha 56.59
_cell_angle_beta 56.59
_cell_angle_gamma 60.00
_space_group_name_H-M_alt 'P 1'
_space_group_IT_number 1
loop_
_space_group_symop_operation_xyz
'x,y,z'
loop_
_atom_site_label
_atom_site_type_symbol
_atom_site_fract_x
_atom_site_fract_y
_atom_site_fract_z
Zn1 Zn 0.202 0.884 0.356
Zn2 Zn 0.884 0.558 0.356
Zn3 Zn 0.334 0.334 0.998
Zn4 Zn 0.116 0.442 0.644
Zn5 Zn 0.558 0.202 0.356
Zn6 Zn 0.798 0.116 0.644
Zn7 Zn 0.666 0.666 0.002
Zn8 Zn 0.442 0.798 0.644
Au1 Au 0.293 0.595 0.170
Au2 Au 0.942 0.293 0.170
Au3 Au 0.707 0.405 0.830
Au4 Au 0.405 0.058 0.830
Au5 Au 0.058 0.707 0.830
Au6 Au 0.595 0.942 0.170
Tm1 Tm 0.000 0.000 0.000
# D(E_F)	4.33	states/eV per cell
# ΔE_f	-0.254	eV per atom
# theoretical density	11.01	Mg/m³
# space group	No. 148